VASP calculation (GGA-PBE) on LiYW3 after structural relaxation.

## Properties
M_tot = 0.0 μB/f.u.
V = 17.7 Å³/atom
calculated total energy = -40.1 eV/cell
ΔH_f (0 K) = 1.43 eV per atom
space-group type = Pm-3m

Cell lengths 4.454, 4.454, 4.454 Å; angles 90.00, 90.00, 90.00 degrees
Atoms (fractional coordinates):
W 0.500 0.000 0.000
W 0.000 0.500 0.000
W 0.000 0.000 0.500
Li 0.000 0.000 0.000
Y 0.500 0.500 0.500